Here is KCuRhO3 after structural relaxation from Alexandria. Energies are from PBE-GGA.

a = 6.407 Å, b = 6.407 Å, c = 8.274 Å
α = 90.00°, β = 90.00°, γ = 150.35°
Element x y z (fractional)
1 K 0.223 0.777 0.750
2 K 0.777 0.223 0.250
3 Cu 0.053 0.947 0.250
4 Cu 0.947 0.053 0.750
5 Rh 0.500 0.500 0.000
6 Rh 0.500 0.500 0.500
7 O 0.104 0.896 0.035
8 O 0.104 0.896 0.465
9 O 0.445 0.555 0.250
10 O 0.555 0.445 0.750
11 O 0.896 0.104 0.535
12 O 0.896 0.104 0.965

## Properties
- E (eV for the cell shown) = -63.622
- ΔE_f (raw) (meV/atom) = -732
- total moment (μB per formula unit) = 0.89
- space-group type = Cmcm, No. 63
- D(E_F) (states/eV/cell) = 9.18